(1)
The following is a DFT calculation (PBE) of a relaxed Nd6Cd23Pb crystal.

Cell and atoms, written as CIF:
```
data_Nd6Cd23Pb
_space_group_name_H-M_alt 'P 1'
_space_group_IT_number 1
_cell_length_a 10.0437
_cell_length_b 10.0437
_cell_length_c 10.0437
_cell_angle_alpha 60.00
_cell_angle_beta 60.00
_cell_angle_gamma 60.00
loop_
_space_group_symop_operation_xyz
'x,y,z'
loop_
_atom_site_label
_atom_site_type_symbol
_atom_site_fract_x
_atom_site_fract_y
_atom_site_fract_z
Cd1 Cd 0.0000 0.0000 0.0000
Cd2 Cd 0.5000 0.0000 0.0000
Cd3 Cd 0.0000 0.5000 0.0000
Cd4 Cd 0.5000 0.5000 0.0000
Cd5 Cd 0.6532 0.6532 0.0405
Cd6 Cd 0.1274 0.1274 0.1274
Cd7 Cd 0.6177 0.1274 0.1274
Cd8 Cd 0.1274 0.6177 0.1274
Cd9 Cd 0.3468 0.3468 0.3468
Cd10 Cd 0.9595 0.3468 0.3468
Cd11 Cd 0.3468 0.9595 0.3468
Cd12 Cd 0.8726 0.8726 0.3823
Cd13 Cd 0.0000 0.0000 0.5000
Cd14 Cd 0.5000 0.0000 0.5000
Cd15 Cd 0.0000 0.5000 0.5000
Cd16 Cd 0.1274 0.1274 0.6177
Cd17 Cd 0.6532 0.0405 0.6532
Cd18 Cd 0.0405 0.6532 0.6532
Cd19 Cd 0.6532 0.6532 0.6532
Cd20 Cd 0.8726 0.3823 0.8726
Cd21 Cd 0.8726 0.8726 0.8726
Cd22 Cd 0.3823 0.8726 0.8726
Cd23 Cd 0.3468 0.3468 0.9595
Nd1 Nd 0.7291 0.2709 0.2709
Nd2 Nd 0.2709 0.7291 0.2709
Nd3 Nd 0.7291 0.7291 0.2709
Nd4 Nd 0.2709 0.2709 0.7291
Nd5 Nd 0.7291 0.2709 0.7291
Nd6 Nd 0.2709 0.7291 0.7291
Pb1 Pb 0.5000 0.5000 0.5000
```

## Properties
E, eV per cell: -62.07
SG: No. 225
Calculated volume, Å³ per cell: 716

---

(2)
The following is a DFT calculation (PBE) of a relaxed TbInCu3S4 crystal.

Cell and atoms, written as CIF:
```
data_TbInCu3S4
_space_group_name_H-M_alt 'P 1'
_space_group_IT_number 1
_cell_length_a 5.9099
_cell_length_b 5.9099
_cell_length_c 5.9099
_cell_angle_alpha 90.00
_cell_angle_beta 90.00
_cell_angle_gamma 90.00
loop_
_space_group_symop_operation_xyz
'x,y,z'
loop_
_atom_site_label
_atom_site_type_symbol
_atom_site_fract_x
_atom_site_fract_y
_atom_site_fract_z
Cu1 Cu 0.5000 0.5000 0.0000
Cu2 Cu 0.5000 0.0000 0.5000
Cu3 Cu 0.0000 0.5000 0.5000
In1 In 0.0000 0.0000 0.0000
S1 S 0.2545 0.2545 0.2545
S2 S 0.7455 0.7455 0.2545
S3 S 0.7455 0.2545 0.7455
S4 S 0.2545 0.7455 0.7455
Tb1 Tb 0.5000 0.5000 0.5000
```

## Properties
Offset from the most stable computed form, eV/atom: 0.102
SG: No. 215
Calculated volume, Å³ per cell: 206

---

(3)
The following is a DFT calculation (PBE) of a relaxed Rb2CuPbF6 crystal.

Cell and atoms, written as CIF:
```
data_Rb2CuPbF6
_space_group_name_H-M_alt 'P 1'
_space_group_IT_number 1
_cell_length_a 6.0928
_cell_length_b 6.0928
_cell_length_c 6.0928
_cell_angle_alpha 60.00
_cell_angle_beta 60.00
_cell_angle_gamma 60.00
loop_
_space_group_symop_operation_xyz
'x,y,z'
loop_
_atom_site_label
_atom_site_type_symbol
_atom_site_fract_x
_atom_site_fract_y
_atom_site_fract_z
Cu1 Cu 0.0000 0.0000 0.0000
F1 F 0.7670 0.7670 0.2330
F2 F 0.7670 0.2330 0.2330
F3 F 0.2330 0.7670 0.2330
F4 F 0.7670 0.2330 0.7670
F5 F 0.2330 0.2330 0.7670
F6 F 0.2330 0.7670 0.7670
Pb1 Pb 0.5000 0.5000 0.5000
Rb1 Rb 0.2500 0.2500 0.2500
Rb2 Rb 0.7500 0.7500 0.7500
```

## Properties
Offset from the most stable computed form, eV/atom: 0.015
SG: No. 225
Calculated volume, Å³ per cell: 160

---

Look up the calculated volume of the first one. 716 Å³ per cell